Entry 1:
This record from the Alexandria database describes Nd8Te4Ir3Cl after structural relaxation. The functional is PBE.

a b c (Å): 8.5615 8.9648 8.5613
angles (deg): 118.53 120.00 90.00
Sites, in units of the cell vectors:
Nd1 0.7179 0.7154 0.9667
Te1 0.0000 0.0000 0.0000
Nd2 0.2821 0.2846 0.0333
Cl1 0.0000 0.5000 0.0000
Ir1 0.0000 0.5000 0.5000
Ir2 0.5000 0.5000 0.5000
Nd3 0.2488 0.7154 0.9667
Ir3 0.5000 0.5000 0.0000
Nd4 0.2488 0.7154 0.4975
Nd5 0.2644 0.2933 0.5288
Te2 0.0000 0.0000 0.5000
Te3 0.5000 0.0000 0.0000
Nd6 0.7512 0.2846 0.5025
Nd7 0.7512 0.2846 0.0333
Te4 0.5000 0.0000 0.5000
Nd8 0.7356 0.7067 0.4712

Output
Fermi-level density of states: 10.50 states/eV/cell
final energy: -6.09 eV/atom

***

Entry 2:
This record from the Alexandria database describes Nd4Te2IrCl after structural relaxation. The functional is PBE.

a b c (Å): 4.2442 7.7766 7.5612
angles (deg): 71.52 90.00 90.00
Sites, in units of the cell vectors:
Ir1 0.0000 0.5000 0.5000
Nd1 0.5000 0.7107 0.2856
Nd2 0.5000 0.2893 0.7144
Te1 0.5000 0.0000 0.5000
Nd3 0.0000 0.7284 0.7414
Te2 0.0000 0.0000 0.0000
Cl1 0.5000 0.5000 0.0000
Nd4 0.0000 0.2716 0.2586

Output
Fermi-level density of states: 5.56 states/eV/cell
final energy: -5.76 eV/atom

***

Entry 3:
This record from the Alexandria database describes NdThIrCl after structural relaxation. The functional is PBE.

a b c (Å): 4.1688 4.1672 8.1092
angles (deg): 90.06 104.87 120.00
Sites, in units of the cell vectors:
Ir1 0.3109 0.5532 0.8799
Nd1 0.5059 0.1503 0.6725
Th1 0.0981 0.9471 0.0607
Cl1 0.9630 0.3803 0.3566

Output
Fermi-level density of states: 2.60 states/eV/cell
final energy: -6.88 eV/atom

***

Entry 4:
This record from the Alexandria database describes NdYIrCl after structural relaxation. The functional is PBE.

a b c (Å): 4.0727 4.0713 7.9436
angles (deg): 90.01 104.84 120.00
Sites, in units of the cell vectors:
Cl1 0.9596 0.3785 0.3516
Ir1 0.3088 0.5522 0.8767
Y1 0.1032 0.9493 0.0687
Nd1 0.5063 0.1509 0.6727

Output
Fermi-level density of states: 1.15 states/eV/cell
final energy: -6.64 eV/atom

***

Entry 5:
This record from the Alexandria database describes Nd6ZnIr2Cl3 after structural relaxation. The functional is PBE.

a b c (Å): 7.2211 7.2211 7.8747
angles (deg): 98.72 98.72 120.14
Sites, in units of the cell vectors:
Nd1 0.9306 0.5781 0.7884
Nd2 0.7181 0.7181 0.2130
Cl1 0.1699 0.8301 0.5000
Ir1 0.3339 0.6661 0.0000
Nd3 0.4219 0.0694 0.2116
Ir2 0.6661 0.3339 0.0000
Cl2 0.5000 0.5000 0.5000
Nd4 0.5781 0.9306 0.7884
Nd5 0.2819 0.2819 0.7870
Cl3 0.8301 0.1699 0.5000
Zn1 0.0000 0.0000 0.0000
Nd6 0.0694 0.4219 0.2116

Output
Fermi-level density of states: 8.64 states/eV/cell
final energy: -5.49 eV/atom

***

Entry 6:
This record from the Alexandria database describes Ni2IrCl after structural relaxation. The functional is PBE.

a b c (Å): 2.7125 2.7125 9.4869
angles (deg): 90.00 90.00 119.75
Last column: magnetic moment on the atom in μB.
Sites, in units of the cell vectors:
Ni1 0.5000 0.5000 0.2372  0.69
Ni2 0.0000 0.0000 0.0266  0.76
Cl1 0.0000 0.0000 0.4317  0.08
Ir1 0.5000 0.5000 0.8045  0.52

Output
Fermi-level density of states: 7.06 states/eV/cell
ΔE to the lowest computed polymorph: 1.26 eV/f.u.